[1]
! GGA-PBE PmHoAs, optimized geometry; values from VASP
! energy of formation = -2.32 eV/f.u.
! density of states at the Fermi level = 2.18 states/eV per cell
! ρ = 7.8 g cm⁻³
&SYSTEM
  ibrav = 0, nat = 3, ntyp = 3
/
ATOMIC_SPECIES
Pm 145.00 Pm.upf
Ho 164.93 Ho.upf
As 74.92 As.upf
ATOMIC_POSITIONS crystal
Pm 0.000 0.000 0.000
Ho 0.500 0.500 0.500
As 0.750 0.750 0.750
CELL_PARAMETERS angstrom
0.000 3.451 3.451
3.451 0.000 3.451
3.451 3.451 0.000

[2]
! GGA-PBE PmHoAs, optimized geometry; values from VASP
! energy of formation = -2.53 eV/f.u.
! density of states at the Fermi level = 2.39 states/eV per cell
! ρ = 7.0 g cm⁻³
&SYSTEM
  ibrav = 0, nat = 3, ntyp = 3
/
ATOMIC_SPECIES
Pm 145.00 Pm.upf
Ho 164.93 Ho.upf
As 74.92 As.upf
ATOMIC_POSITIONS crystal
Pm 0.000 0.000 0.000
Ho 0.667 0.333 0.520
As 0.333 0.667 0.270
CELL_PARAMETERS angstrom
4.004 0.000 0.000
-2.002 3.468 0.000
0.000 0.000 6.581

[3]
! GGA-PBE Pm2HoAs, optimized geometry; values from VASP
! energy of formation = -2.22 eV/f.u.
! density of states at the Fermi level = 5.61 states/eV per cell
! ρ = 6.8 g cm⁻³
&SYSTEM
  ibrav = 0, nat = 4, ntyp = 3
/
ATOMIC_SPECIES
Pm 145.00 Pm.upf
Ho 164.93 Ho.upf
As 74.92 As.upf
ATOMIC_POSITIONS crystal
Pm 0.229 0.229 0.229
Pm 0.771 0.771 0.771
Ho 0.000 0.000 0.000
As 0.500 0.500 0.500
CELL_PARAMETERS angstrom
1.977 1.142 9.506
-1.977 1.142 9.506
0.000 -2.283 9.506

Repeat the second record exactly.
! GGA-PBE PmHoAs, optimized geometry; values from VASP
! energy of formation = -2.53 eV/f.u.
! density of states at the Fermi level = 2.39 states/eV per cell
! ρ = 7.0 g cm⁻³
&SYSTEM
  ibrav = 0, nat = 3, ntyp = 3
/
ATOMIC_SPECIES
Pm 145.00 Pm.upf
Ho 164.93 Ho.upf
As 74.92 As.upf
ATOMIC_POSITIONS crystal
Pm 0.000 0.000 0.000
Ho 0.667 0.333 0.520
As 0.333 0.667 0.270
CELL_PARAMETERS angstrom
4.004 0.000 0.000
-2.002 3.468 0.000
0.000 0.000 6.581